Entry from the Alexandria database: crystalline La2Nd3Sm2 at its relaxed geometry (GGA-PBE).

Values from the calculation:
Its total magnetic moment is 0.00 μB/cell. Its energy is -4.69 eV/atom. As for the crystal system: monoclinic. Its formation energy is 0.1078 eV/atom. For the energy above the most stable polymorph in this dataset, the calculation gives 69.3 meV per atom. The calculation puts the calculated volume at 496 Å³/cell.

The structure in CIF format:
```
data_La2Nd3Sm2
_chemical_formula_sum 'La4 Nd6 Sm4'
_cell_length_a 17.254
_cell_length_b 3.560
_cell_length_c 9.010
_cell_angle_alpha 90.00
_cell_angle_beta 116.45
_cell_angle_gamma 90.00
_space_group_name_H-M_alt 'C 1 2/m 1'
_space_group_IT_number 12
loop_
_space_group_symop_operation_xyz
'x,y,z'
'-x,-y,-z'
'-x,y,-z'
'x,-y,z'
'x+1/2,y+1/2,z'
'-x+1/2,-y+1/2,-z'
'-x+1/2,y+1/2,-z'
'x+1/2,-y+1/2,z'
loop_
_atom_site_label
_atom_site_type_symbol
_atom_site_fract_x
_atom_site_fract_y
_atom_site_fract_z
La1 La 0.077 0.000 0.202
Nd1 Nd 0.000 0.000 0.500
Nd2 Nd 0.222 0.000 0.649
Sm1 Sm 0.140 0.500 0.907
```

---

Entry from the Alexandria database: crystalline La2Nd6Sm at its relaxed geometry (GGA-PBE).

Values from the calculation:
Its total magnetic moment is 0.00 μB/cell. Its energy is -4.75 eV/atom. As for the crystal system: orthorhombic. Its formation energy is 0.0455 eV/atom. For the energy above the most stable polymorph in this dataset, the calculation gives 0.0 meV per atom. The calculation puts the calculated volume at 638 Å³/cell.

The structure in CIF format:
```
data_La2Nd6Sm
_chemical_formula_sum 'La4 Nd12 Sm2'
_cell_length_a 10.091
_cell_length_b 17.557
_cell_length_c 3.598
_cell_angle_alpha 90.00
_cell_angle_beta 90.00
_cell_angle_gamma 90.00
_space_group_name_H-M_alt 'C m m m'
_space_group_IT_number 65
_space_group_name_Hall '-C 2 2'
loop_
_atom_site_label
_atom_site_type_symbol
_atom_site_fract_x
_atom_site_fract_y
_atom_site_fract_z
La1 La 0.000 0.167 0.000
Nd1 Nd 0.167 0.334 0.500
Nd2 Nd 0.169 0.000 0.500
Sm1 Sm 0.000 0.500 0.000
```

---

Entry from the Alexandria database: crystalline La6Nd3Sm at its relaxed geometry (GGA-PBE).

Values from the calculation:
Its total magnetic moment is 0.00 μB/cell. Its energy is -4.75 eV/atom. As for the crystal system: orthorhombic. Its formation energy is 0.1085 eV/atom. For the energy above the most stable polymorph in this dataset, the calculation gives 0.0 meV per atom. The calculation puts the calculated volume at 1441 Å³/cell.

The structure in CIF format:
```
data_La6Nd3Sm
_chemical_formula_sum 'La24 Nd12 Sm4'
_cell_length_a 11.028
_cell_length_b 19.726
_cell_length_c 6.623
_cell_angle_alpha 90.00
_cell_angle_beta 90.00
_cell_angle_gamma 90.00
_space_group_name_H-M_alt 'C m c 21'
_space_group_IT_number 36
loop_
_space_group_symop_operation_xyz
'x,y,z'
'-x,-y,z+1/2'
'-x,y,z'
'x,-y,z+1/2'
'x+1/2,y+1/2,z'
'-x+1/2,-y+1/2,z+1/2'
'-x+1/2,y+1/2,z'
'x+1/2,-y+1/2,z+1/2'
loop_
_atom_site_label
_atom_site_type_symbol
_atom_site_fract_x
_atom_site_fract_y
_atom_site_fract_z
La1 La 0.000 0.031 0.000
La2 La 0.000 0.282 0.807
La3 La 0.173 0.461 0.704
La4 La 0.225 0.293 0.521
Nd1 Nd 0.000 0.384 0.233
Nd2 Nd 0.177 0.119 0.611
Sm1 Sm 0.000 0.186 0.249
```

---

Entry from the Alexandria database: crystalline La5Nd4Sm4 at its relaxed geometry (GGA-PBE).

Values from the calculation:
Its total magnetic moment is 0.00 μB/cell. Its energy is -4.79 eV/atom. As for the crystal system: tetragonal. Its formation energy is 0.0194 eV/atom. The calculation puts the calculated volume at 925 Å³/cell.

The structure in CIF format:
```
data_La5Nd4Sm4
_chemical_formula_sum 'La10 Nd8 Sm8'
_cell_length_a 13.336
_cell_length_b 13.336
_cell_length_c 5.201
_cell_angle_alpha 90.00
_cell_angle_beta 90.00
_cell_angle_gamma 90.00
_space_group_name_H-M_alt 'I 4/m'
_space_group_IT_number 87
_space_group_name_Hall '-I 4'
loop_
_atom_site_label
_atom_site_type_symbol
_atom_site_fract_x
_atom_site_fract_y
_atom_site_fract_z
La1 La 0.000 0.000 0.000
La2 La 0.039 0.808 0.500
Nd1 Nd 0.076 0.615 0.000
Sm1 Sm 0.155 0.233 0.000
```

---

Entry from the Alexandria database: crystalline LaNd3Sm8 at its relaxed geometry (GGA-PBE).

Values from the calculation:
Its total magnetic moment is 0.00 μB/cell. Its energy is -4.46 eV/atom. As for the crystal system: orthorhombic. Its formation energy is 0.2925 eV/atom. The calculation puts the calculated volume at 887 Å³/cell.

The structure in CIF format:
```
data_LaNd3Sm8
_chemical_formula_sum 'La2 Nd6 Sm16'
_cell_length_a 6.538
_cell_length_b 11.617
_cell_length_c 11.679
_cell_angle_alpha 90.00
_cell_angle_beta 90.00
_cell_angle_gamma 90.00
_space_group_name_H-M_alt 'I m m m'
_space_group_IT_number 71
_space_group_name_Hall '-I 2 2'
loop_
_atom_site_label
_atom_site_type_symbol
_atom_site_fract_x
_atom_site_fract_y
_atom_site_fract_z
La1 La 0.000 0.000 0.000
Nd1 Nd 0.000 0.000 0.500
Nd2 Nd 0.000 0.500 0.247
Sm1 Sm 0.000 0.171 0.250
Sm2 Sm 0.247 0.254 0.000
```

---

Entry from the Alexandria database: crystalline La7NdSm2 at its relaxed geometry (GGA-PBE).

Values from the calculation:
Its total magnetic moment is 0.94 μB/cell. Its energy is -4.31 eV/atom. As for the crystal system: orthorhombic. Its formation energy is 0.5633 eV/atom. For the energy above the most stable polymorph in this dataset, the calculation gives 249.7 meV per atom. The calculation puts the calculated volume at 840 Å³/cell.

The structure in CIF format:
```
data_La7NdSm2
_chemical_formula_sum 'La14 Nd2 Sm4'
_cell_length_a 9.073
_cell_length_b 16.249
_cell_length_c 5.698
_cell_angle_alpha 90.00
_cell_angle_beta 90.00
_cell_angle_gamma 90.00
_space_group_name_H-M_alt 'C m m m'
_space_group_IT_number 65
_space_group_name_Hall '-C 2 2'
loop_
_atom_site_label
_atom_site_type_symbol
_atom_site_fract_x
_atom_site_fract_y
_atom_site_fract_z
La1 La 0.000 0.000 0.000
La2 La 0.000 0.259 0.500
La3 La 0.186 0.385 0.000
Nd1 Nd 0.000 0.500 0.500
Sm1 Sm 0.000 0.201 0.000
```

---

Entry from the Alexandria database: crystalline La2Nd2Sm at its relaxed geometry (GGA-PBE).

Values from the calculation:
Its total magnetic moment is 0.00 μB/cell. Its energy is -4.80 eV/atom. As for the crystal system: monoclinic. Its formation energy is 0.0185 eV/atom. For the energy above the most stable polymorph in this dataset, the calculation gives 0.0 meV per atom. The calculation puts the calculated volume at 714 Å³/cell.

The structure in CIF format:
```
data_La2Nd2Sm
_chemical_formula_sum 'La8 Nd8 Sm4'
_cell_length_a 26.306
_cell_length_b 3.700
_cell_length_c 7.406
_cell_angle_alpha 90.00
_cell_angle_beta 98.07
_cell_angle_gamma 90.00
_space_group_name_H-M_alt 'C 1 2/m 1'
_space_group_IT_number 12
loop_
_space_group_symop_operation_xyz
'x,y,z'
'-x,-y,-z'
'-x,y,-z'
'x,-y,z'
'x+1/2,y+1/2,z'
'-x+1/2,-y+1/2,-z'
'-x+1/2,y+1/2,-z'
'x+1/2,-y+1/2,z'
loop_
_atom_site_label
_atom_site_type_symbol
_atom_site_fract_x
_atom_site_fract_y
_atom_site_fract_z
La1 La 0.001 0.000 0.253
La2 La 0.200 0.000 0.849
Nd1 Nd 0.100 0.500 0.050
Nd2 Nd 0.199 0.000 0.350
Sm1 Sm 0.100 0.500 0.550
```

---

Entry from the Alexandria database: crystalline La5Nd2Sm4 at its relaxed geometry (GGA-PBE).

Values from the calculation:
Its total magnetic moment is 0.00 μB/cell. Its energy is -4.65 eV/atom. As for the crystal system: orthorhombic. Its formation energy is 0.1730 eV/atom. For the energy above the most stable polymorph in this dataset, the calculation gives 106.1 meV per atom. The calculation puts the calculated volume at 813 Å³/cell.

The structure in CIF format:
```
data_La5Nd2Sm4
_chemical_formula_sum 'La10 Nd4 Sm8'
_cell_length_a 3.593
_cell_length_b 9.494
_cell_length_c 23.826
_cell_angle_alpha 90.00
_cell_angle_beta 90.00
_cell_angle_gamma 90.00
_space_group_name_H-M_alt 'I m m m'
_space_group_IT_number 71
_space_group_name_Hall '-I 2 2'
loop_
_atom_site_label
_atom_site_type_symbol
_atom_site_fract_x
_atom_site_fract_y
_atom_site_fract_z
La1 La 0.000 0.000 0.000
La2 La 0.000 0.300 0.353
Nd1 Nd 0.000 0.500 0.231
Sm1 Sm 0.000 0.193 0.500
Sm2 Sm 0.000 0.500 0.096
```

---

Entry from the Alexandria database: crystalline La3Nd8Sm4 at its relaxed geometry (GGA-PBE).

Values from the calculation:
Its total magnetic moment is 0.04 μB/cell. Its energy is -4.49 eV/atom. As for the crystal system: monoclinic. Its formation energy is 0.2991 eV/atom. The calculation puts the calculated volume at 1073 Å³/cell.

The structure in CIF format:
```
data_La3Nd8Sm4
_chemical_formula_sum 'La6 Nd16 Sm8'
_cell_length_a 14.209
_cell_length_b 12.381
_cell_length_c 7.000
_cell_angle_alpha 90.00
_cell_angle_beta 119.36
_cell_angle_gamma 90.00
_space_group_name_H-M_alt 'C 1 2/m 1'
_space_group_IT_number 12
loop_
_space_group_symop_operation_xyz
'x,y,z'
'-x,-y,-z'
'-x,y,-z'
'x,-y,z'
'x+1/2,y+1/2,z'
'-x+1/2,-y+1/2,-z'
'-x+1/2,y+1/2,-z'
'x+1/2,-y+1/2,z'
loop_
_atom_site_label
_atom_site_type_symbol
_atom_site_fract_x
_atom_site_fract_y
_atom_site_fract_z
La1 La 0.000 0.000 0.000
La2 La 0.250 0.250 0.000
Nd1 Nd 0.000 0.205 0.500
Nd2 Nd 0.000 0.251 0.000
Nd3 Nd 0.204 0.000 0.705
Nd4 Nd 0.248 0.500 0.741
Sm1 Sm 0.000 0.500 0.000
Sm2 Sm 0.000 0.500 0.500
Sm3 Sm 0.250 0.250 0.500
```